Entry from Alexandria: an optimized crystal structure of K2NpTlTe4 (PBE).

Cell: 4.5903 8.4360 8.3475 Å, 72.27 90.00 90.00°
Last column: nearest neighbours and their distance in Å.
Positions (direct):
K  0.0000  0.0000  0.0000  6 Te 3.69-3.83
K  0.5000  0.0000  0.5000  6 Te 3.47
Te  0.5000  0.7048  0.2878  2 Np 3.09, 1 Tl 3.36
Te  0.5000  0.2952  0.7122  2 Np 3.09, 1 Tl 3.36
Te  0.0000  0.7088  0.7268  1 Np 2.95
Te  0.0000  0.2912  0.2732  1 Np 2.95
Np  0.0000  0.5000  0.5000  6 Te 2.95-3.09
Tl  0.5000  0.5000  0.0000  6 Te 3.34-3.36

Summary:
Its electronic total energy is -35.7 eV per formula unit. As for the symmetry: P2/m, No. 10.

=====

Entry from Alexandria: an optimized crystal structure of K3Tm2NpTe6 (PBE).

Cell: 7.8067 7.8067 8.6116 Å, 98.70 98.70 120.05°
Last column: nearest neighbours and their distance in Å.
Positions (direct):
K  0.5000  0.5000  0.5000  6 Te 3.50-3.56
K  0.1644  0.8356  0.5000  6 Te 3.52-3.57
K  0.8356  0.1644  0.5000  6 Te 3.52-3.57
Te  0.4103  0.0691  0.2073  2 Tm 3.08, 1 Np 3.16
Te  0.5897  0.9309  0.7927  2 Tm 3.08, 1 Np 3.16
Te  0.7277  0.7277  0.2069  2 Tm 3.08, 1 Np 3.16
Te  0.9309  0.5897  0.7927  2 Tm 3.08, 1 Np 3.16
Te  0.0691  0.4103  0.2073  2 Tm 3.08, 1 Np 3.16
Te  0.2723  0.2723  0.7931  2 Tm 3.08, 1 Np 3.16
Tm  0.3332  0.6668  0.0000  6 Te 3.08
Tm  0.6668  0.3332  0.0000  6 Te 3.08
Np  0.0000  0.0000  0.0000  6 Te 3.16

Summary:
Its electronic total energy is -58.4 eV per formula unit. As for the symmetry: C2/m, No. 12.

=====

Entry from Alexandria: an optimized crystal structure of K2NpUTe4 (PBE).

Cell: 4.5230 7.8332 8.6733 Å, 107.46 90.00 90.00°
Last column: nearest neighbours and their distance in Å.
Positions (direct):
Te  0.0000  0.2646  0.7886  2 U 3.14, 1 Np 3.15
Te  0.5000  0.7612  0.7887  1 U 3.13, 2 Np 3.15
Te  0.0000  0.7354  0.2114  2 U 3.14, 1 Np 3.15
Te  0.5000  0.2388  0.2113  1 U 3.13, 2 Np 3.15
U  0.5000  0.5000  0.0000  6 Te 3.13-3.14
K  0.5000  0.0000  0.5000  6 Te 3.54-3.55
K  0.0000  0.5000  0.5000  6 Te 3.53
Np  0.0000  0.0000  0.0000  6 Te 3.15

Summary:
Its electronic total energy is -46.0 eV per formula unit. As for the symmetry: P2/m, No. 10.

=====

Entry from Alexandria: an optimized crystal structure of K2Np2UTe6 (PBE).

Cell: 7.7284 7.7284 8.7984 Å, 98.51 98.51 119.93°
Last column: nearest neighbours and their distance in Å.
Positions (direct):
Te  0.0717  0.3999  0.7075  1 U 3.08, 2 Np 3.12-3.13
Te  0.9283  0.6001  0.2925  1 U 3.08, 2 Np 3.12-3.13
Te  0.2620  0.2620  0.2938  1 U 3.09, 2 Np 3.12
Te  0.3999  0.0717  0.7075  1 U 3.08, 2 Np 3.12-3.13
Te  0.7380  0.7380  0.7062  1 U 3.09, 2 Np 3.12
Te  0.6001  0.9283  0.2925  1 U 3.08, 2 Np 3.12-3.13
U  0.0000  0.0000  0.5000  6 Te 3.08-3.09
K  0.1672  0.8328  0.0000  6 Te 3.56-3.58
K  0.8328  0.1672  0.0000  6 Te 3.56-3.58
Np  0.3327  0.6673  0.5000  6 Te 3.12-3.13
Np  0.6673  0.3327  0.5000  6 Te 3.12-3.13

Summary:
Its electronic total energy is -67.3 eV per formula unit. As for the symmetry: C2/m, No. 12.